! KCrNiF6 PBE+U optimized geometry; values from VASP
&SYSTEM
  ibrav = 0, nat = 18, ntyp = 4
/
ATOMIC_SPECIES
K 39.10 K.upf
Cr 52.00 Cr.upf
Ni 58.69 Ni.upf
F 19.00 F.upf
ATOMIC_POSITIONS angstrom
K -1.380 0.214 1.563
K -5.503 -1.852 0.243
Cr -1.276 -3.299 -0.674
Cr -4.654 2.015 -1.054
Ni -2.488 -0.465 -2.632
Ni 1.212 -2.834 1.957
F -2.354 -3.216 0.957
F -3.013 0.154 4.944
F -0.497 -2.827 3.059
F -5.047 -0.157 2.801
F -3.918 0.261 -1.383
F -4.050 2.422 3.329
F -4.530 1.578 0.849
F -3.871 -1.792 -3.138
F -6.387 1.189 -1.253
F -1.836 -1.481 -0.995
F -2.965 -1.900 3.189
F -2.833 -4.060 -1.523
CELL_PARAMETERS angstrom
-4.332 4.961 3.155
-4.976 -0.931 -5.263
2.424 -5.668 3.914
! Space group ... No. 74
! Calculated density ... 3.192 Mg/m³
! DFT total energy ... -45.159 eV/f.u.
! Polymorph energy (0 for the lowest one) ... 0.099 eV/atom